[1]
Here is a relaxed TlHg2Pb crystal from the Alexandria database. Energies are from PBE.

```
TlHg2Pb
1.0
1.7466 1.0084 10.9393
-1.7466 1.0084 10.9393
0.0000 -2.0169 10.9393
Tl Hg Pb
1 2 1
direct
0.0000 0.0000 0.0000 Tl
0.4170 0.4170 0.4170 Hg
0.5853 0.5853 0.5853 Hg
0.8360 0.8360 0.8360 Pb
```

Output
Space-group type = No. 160

[2]
Here is a relaxed Tl5Hg2Pb12 crystal from the Alexandria database. Energies are from PBE.

```
Tl5Hg2Pb12
1.0
12.4170 -4.9538 0.0000
12.4170 4.9538 0.0000
-0.9549 0.0000 4.8487
Tl Hg Pb
5 2 12
direct
0.0000 0.0000 0.0000 Tl
0.1957 0.1957 0.1940 Tl
0.2976 0.2976 0.7964 Tl
0.7024 0.7024 0.2036 Tl
0.8043 0.8043 0.8060 Tl
0.2613 0.7387 0.5000 Hg
0.7387 0.2613 0.5000 Hg
0.0589 0.5500 0.3050 Pb
0.0966 0.0966 0.5955 Pb
0.1645 0.6446 0.9033 Pb
0.3554 0.8355 0.0967 Pb
0.4068 0.4068 0.4055 Pb
0.4500 0.9411 0.6950 Pb
0.5500 0.0589 0.3050 Pb
0.5932 0.5932 0.5945 Pb
0.6446 0.1645 0.9033 Pb
0.8355 0.3554 0.0967 Pb
0.9034 0.9034 0.4045 Pb
0.9411 0.4500 0.6950 Pb
```

Output
Space-group type = No. 12

[3]
Here is a relaxed TlHg2Pb5 crystal from the Alexandria database. Energies are from PBE.

```
TlHg2Pb5
1.0
4.9056 -4.8881 0.0000
4.9056 4.8881 0.0000
-4.8975 0.0000 4.9683
Tl Hg Pb
1 2 5
direct
0.0000 0.0000 0.0000 Tl
0.0000 0.5000 0.0000 Hg
0.5000 0.0000 0.0000 Hg
0.0000 0.0000 0.5000 Pb
0.0000 0.5000 0.5000 Pb
0.5000 0.0000 0.5000 Pb
0.5000 0.5000 0.0000 Pb
0.5000 0.5000 0.5000 Pb
```

Output
Space-group type = No. 12

[4]
Here is a relaxed Tl5Hg2Pb4 crystal from the Alexandria database. Energies are from PBE.

```
Tl5Hg2Pb4
1.0
7.6469 0.0000 0.0000
0.0000 17.4386 0.0000
0.0000 0.0000 5.1177
Tl Hg Pb
10 4 8
direct
0.0000 0.0000 0.0000 Tl
0.1050 0.4089 0.0000 Tl
0.2036 0.1996 0.0000 Tl
0.2964 0.6996 0.0000 Tl
0.3950 0.9089 0.0000 Tl
0.5000 0.5000 0.0000 Tl
0.6050 0.0911 0.0000 Tl
0.7036 0.3004 0.0000 Tl
0.7964 0.8004 0.0000 Tl
0.8950 0.5911 0.0000 Tl
0.0098 0.2953 0.5000 Hg
0.4902 0.7953 0.5000 Hg
0.5098 0.2047 0.5000 Hg
0.9902 0.7047 0.5000 Hg
0.0944 0.8734 0.5000 Pb
0.1993 0.5455 0.5000 Pb
0.3007 0.0455 0.5000 Pb
0.4056 0.3734 0.5000 Pb
0.5944 0.6266 0.5000 Pb
0.6993 0.9545 0.5000 Pb
0.8007 0.4545 0.5000 Pb
0.9056 0.1266 0.5000 Pb
```

Output
Space-group type = No. 55

[5]
Here is a relaxed Tl3Hg7Pb crystal from the Alexandria database. Energies are from PBE.

```
Tl3Hg7Pb
1.0
5.2325 -5.7709 0.0000
5.2325 5.7709 0.0000
-2.5948 0.0000 5.5896
Tl Hg Pb
3 7 1
direct
0.0000 0.0000 0.0000 Tl
0.2299 0.7701 0.5000 Tl
0.7701 0.2299 0.5000 Tl
0.0801 0.5839 0.8446 Hg
0.1958 0.1958 0.5705 Hg
0.4161 0.9199 0.1554 Hg
0.5000 0.5000 0.5000 Hg
0.5839 0.0801 0.8446 Hg
0.8042 0.8042 0.4295 Hg
0.9199 0.4161 0.1554 Hg
0.5000 0.5000 0.0000 Pb
```

Output
Space-group type = No. 12

[6]
Here is a relaxed Tl2HgPb2 crystal from the Alexandria database. Energies are from PBE.

```
Tl2HgPb2
1.0
-2.2007 2.2007 8.3590
2.2007 -2.2007 8.3590
2.2007 2.2007 -8.3590
Tl Hg Pb
2 1 2
direct
0.2500 0.7500 0.5000 Tl
0.7500 0.2500 0.5000 Tl
0.0000 0.0000 0.0000 Hg
0.4037 0.4037 0.0000 Pb
0.5963 0.5963 0.0000 Pb
```

Output
Space-group type = No. 139

Number 1: formation energy 0.018 eV/atom, raw total energy -0.12136 Ry per atom. Number 2: formation energy 0.017 eV/atom, raw total energy -0.21897 Ry per atom. Number 3: formation energy 0.018 eV/atom, raw total energy -0.19629 Ry per atom. Number 4: formation energy 0.025 eV/atom, raw total energy -0.18035 Ry per atom. Number 5: formation energy 0.044 eV/atom, raw total energy -0.08306 Ry per atom. Number 6: formation energy 0.149 eV/atom, raw total energy -0.17207 Ry per atom.